# BaWBr

BaWBr after structural relaxation (PBEsol, the Alexandria database).

* formation energy without anion corrections: 0.79 eV per atom
* relative energy among the computed polymorphs: 0.00 kJ per mole of atoms
* total magnetization: 0.44 μB/cell
* DOS at the Fermi energy: 3.367 states/eV/cell

Cell: 3.270 3.270 7.012 Å, 103.48 103.48 90.00°
Site moments in Bohr magnetons follow the coordinates.
Fractional coordinates of all 3 atoms:
Br (0.702, 0.702, 0.403)  0.00
Ba (0.996, 0.996, 0.992)  0.02
W (0.302, 0.302, 0.605)  0.31